First-principles (PBEsol) data for crystalline LuNiB4 at its relaxed geometry, as listed in Alexandria.

a = 3.3049 Å, b = 5.8153 Å, c = 11.2869 Å
α = 90.00°, β = 90.00°, γ = 90.00°
Fractional positions:
1 B 0.0000 0.2861 0.6859
2 B 0.0000 0.3859 0.9523
3 B 0.0000 0.8641 0.9667
4 B 0.0000 0.6141 0.0477
5 Lu 0.5000 0.8726 0.1504
6 B 0.0000 0.5214 0.1923
7 Lu 0.5000 0.6274 0.6504
8 Ni 0.5000 0.6341 0.9119
9 Lu 0.5000 0.3726 0.3496
10 B 0.0000 0.2139 0.1859
11 B 0.0000 0.7139 0.3141
12 B 0.0000 0.4786 0.8077
13 B 0.0000 0.1141 0.4523
14 Ni 0.5000 0.8659 0.4119
15 B 0.0000 0.3641 0.5333
16 B 0.0000 0.6359 0.4667
17 B 0.0000 0.9786 0.6923
18 Lu 0.5000 0.1274 0.8496
19 B 0.0000 0.7861 0.8141
20 Ni 0.5000 0.1341 0.5881
21 B 0.0000 0.0214 0.3077
22 B 0.0000 0.8859 0.5477
23 Ni 0.5000 0.3659 0.0881
24 B 0.0000 0.1359 0.0333

Formation energy from the elements in kcal/mol of atoms: -14.6
DFT total energy in eV/atom: -7.15
Symmetry: Pbam (55)

***

First-principles (PBEsol) data for crystalline LuB4Os at its relaxed geometry, as listed in Alexandria.

a = 3.4960 Å, b = 5.8818 Å, c = 11.3751 Å
α = 90.00°, β = 90.00°, γ = 90.00°
Fractional positions:
1 Os 0.5000 0.1421 0.9062
2 Os 0.5000 0.6421 0.5938
3 B 0.0000 0.3654 0.9702
4 Lu 0.5000 0.6293 0.8501
5 B 0.0000 0.2074 0.3137
6 Lu 0.5000 0.3707 0.1499
7 B 0.0000 0.9770 0.8070
8 B 0.0000 0.1136 0.0478
9 Os 0.5000 0.8579 0.0938
10 Os 0.5000 0.3579 0.4062
11 B 0.0000 0.4770 0.6930
12 B 0.0000 0.3864 0.5478
13 B 0.0000 0.7074 0.1863
14 B 0.0000 0.1346 0.4702
15 Lu 0.5000 0.8707 0.3501
16 B 0.0000 0.7926 0.6863
17 B 0.0000 0.0230 0.1930
18 B 0.0000 0.6346 0.0298
19 B 0.0000 0.6136 0.4522
20 Lu 0.5000 0.1293 0.6499
21 B 0.0000 0.8654 0.5298
22 B 0.0000 0.8864 0.9522
23 B 0.0000 0.5230 0.3070
24 B 0.0000 0.2926 0.8137

Formation energy from the elements in kcal/mol of atoms: -15.1
DFT total energy in eV/atom: -8.18
Symmetry: Pbam (55)

***

Which of these has the highest DFT total energy? LuNiB4

***

The highest formation energy from the elements belongs to which entry? LuNiB4